Computed, not measured: a crystal of CoTcW relaxed with PBEsol at the meta-GGA SCAN level of DFT.

The space group is I4mm (No. 107) and the conventional cell measures 3.114, 3.114 and 8.383 Å, with angles of 90.00, 90.00 and 90.00 degrees. Symmetry generates all atoms from Co at (0.000, 0.000, 0.000), Tc at (0.000, 0.000, 0.673) and W at (0.000, 0.000, 0.340).

The calculation puts the total energy at -40.584 eV/atom. The calculation puts the formation energy at 99.9 meV/atom. The density of states at the Fermi level is 4.56 states/eV per cell. Its crystal system is tetragonal. The calculation puts the mass density at 13.92 g cm⁻³.



Computed, not measured: a crystal of CoTcW2 relaxed with PBEsol at the meta-GGA SCAN level of DFT.

The space group is P4/mmm (No. 123) and the conventional cell measures 3.865, 3.865 and 3.709 Å, with angles of 90.00, 90.00 and 90.00 degrees. Symmetry generates all atoms from Co at (0.000, 0.000, 0.000), Tc at (0.500, 0.500, 0.000) and W at (0.000, 0.500, 0.500).

The calculation puts the total energy at -47.733 eV/atom. The calculation puts the formation energy at 201.6 meV/atom. The density of states at the Fermi level is 4.25 states/eV per cell. Its crystal system is tetragonal. The calculation puts the mass density at 15.73 g cm⁻³.



Computed, not measured: a crystal of YCoTc relaxed with PBEsol at the meta-GGA SCAN level of DFT.

The space group is F-43m (No. 216) and the conventional cell measures 6.129, 6.129 and 6.129 Å, with angles of 90.00, 90.00 and 90.00 degrees. Symmetry generates all atoms from Y at (0.000, 0.000, 0.000), Co at (0.250, 0.250, 0.250) and Tc at (0.250, 0.250, 0.750).

The calculation puts the total energy at -25.312 eV/atom. The calculation puts the formation energy at 1423.8 meV/atom. The density of states at the Fermi level is 8.66 states/eV per cell. Its crystal system is cubic. The calculation puts the mass density at 7.09 g cm⁻³.